PBE-GGA PrNd6Y3Tm2, relaxed; theoretical density = 6.6 g/cm³; ΔE_f = 0.013 eV/atom
1.0
3.1464 -5.4496 0.0000
3.1464 5.4496 0.0000
-2.0935 0.0000 11.7398
Pr Nd Y Tm
1 6 3 2
Direct
0.0000 0.0000 0.0000
0.0839 0.4184 0.2498
0.2506 0.2506 0.7503
0.4184 0.0839 0.2498
0.5816 0.9161 0.7502
0.7494 0.7494 0.2497
0.9161 0.5816 0.7502
0.1669 0.8330 0.5000
0.5000 0.5000 0.5000
0.8330 0.1669 0.5000
0.3335 0.6665 0.0000
0.6665 0.3335 0.0000